(1)
This record from Alexandria describes an optimized crystal structure of CaTePbO6. The functional is PBE-GGA.

* SG: P-31c (163)
* M_tot: 0.00 μB per formula unit
* formation energy without anion corrections: -34.38 kcal/mol of atoms

Structure (POSCAR):
```
CaTePbO6
1.0
5.4923 0.0000 0.0000
-2.7462 4.7565 0.0000
0.0000 0.0000 10.0214
Ca Te Pb O
2 2 2 12
Direct
0.0000 0.0000 0.0000 Ca
0.0000 0.0000 0.5000 Ca
0.6667 0.3333 0.2500 Te
0.3333 0.6667 0.7500 Te
0.3333 0.6667 0.2500 Pb
0.6667 0.3333 0.7500 Pb
0.6534 0.6203 0.1381 O
0.9669 0.3466 0.1381 O
0.3466 0.9669 0.6381 O
0.0331 0.6534 0.8619 O
0.3797 0.3466 0.3619 O
0.9669 0.6203 0.3619 O
0.6203 0.9669 0.8619 O
0.6534 0.0331 0.3619 O
0.0331 0.3797 0.6381 O
0.3797 0.0331 0.1381 O
0.6203 0.6534 0.6381 O
0.3466 0.3797 0.8619 O
```

=====

(2)
This record from Alexandria describes an optimized crystal structure of Ge2S. The functional is PBE-GGA.

* SG: P1 (1)
* Fermi-level density of states: 2.343 states/eV/cell
* M_tot: 0.00 μB per formula unit
* ΔE to the lowest computed polymorph: 22 kJ/mol of formula units
* formation energy without anion corrections: 0.68 kcal/mol of atoms

Structure (POSCAR):
```
Ge2S
1.0
4.3111 -0.0095 0.0103
1.8148 4.9005 0.0170
2.0954 1.2626 6.2378
Ge S
4 2
Direct
0.1468 0.2598 0.6886 Ge
0.3708 0.0988 0.0863 Ge
0.3073 0.7439 0.6279 Ge
0.8234 0.8472 0.3169 Ge
0.9544 0.3636 0.3503 S
0.6187 0.4930 0.8986 S
```